Model P:
Density functional theory data (PBE-GGA) for an optimized crystal structure of ThGa3Co.

Values from the calculation:
Spin magnetization: 0.00 μB/cell

Cell and atoms, written as CIF:
```
data_ThGa3Co
_chemical_formula_sum 'Th2 Ga6 Co2'
_cell_length_a 4.256
_cell_length_b 4.256
_cell_length_c 10.173
_cell_angle_alpha 90.00
_cell_angle_beta 90.00
_cell_angle_gamma 90.00
_space_group_name_H-M_alt 'I 4 m m'
_space_group_IT_number 107
_space_group_name_Hall 'I 4 -2'
loop_
_atom_site_label
_atom_site_type_symbol
_atom_site_fract_x
_atom_site_fract_y
_atom_site_fract_z
Th1 Th 0.000 0.000 0.000
Ga1 Ga 0.000 0.000 0.584
Ga2 Ga 0.000 0.500 0.251
Co1 Co 0.000 0.000 0.358
```

Model Q:
Density functional theory data (PBE-GGA) for an optimized crystal structure of ThGa3Co.

Values from the calculation:
Spin magnetization: 0.53 μB/cell

Cell and atoms, written as CIF:
```
data_ThGa3Co
_chemical_formula_sum 'Th1 Ga3 Co1'
_cell_length_a 4.585
_cell_length_b 4.585
_cell_length_c 4.585
_cell_angle_alpha 90.00
_cell_angle_beta 90.00
_cell_angle_gamma 90.00
_space_group_name_H-M_alt 'P m -3 m'
_space_group_IT_number 221
_space_group_name_Hall '-P 4 2 3'
loop_
_atom_site_label
_atom_site_type_symbol
_atom_site_fract_x
_atom_site_fract_y
_atom_site_fract_z
Th1 Th 0.000 0.000 0.000
Ga1 Ga 0.000 0.500 0.500
Co1 Co 0.500 0.500 0.500
```

Which structure loses on stability? model Q does.

Model P:
Density functional theory data (PBE-GGA) for an optimized crystal structure of Ti3GaCo.

Values from the calculation:
Spin magnetization: 0.00 μB/cell

Cell and atoms, written as CIF:
```
data_Ti3GaCo
_chemical_formula_sum 'Ti3 Ga1 Co1'
_cell_length_a 4.632
_cell_length_b 4.632
_cell_length_c 4.632
_cell_angle_alpha 90.00
_cell_angle_beta 90.00
_cell_angle_gamma 90.00
_space_group_name_H-M_alt 'P m -3 m'
_space_group_IT_number 221
_space_group_name_Hall '-P 4 2 3'
loop_
_atom_site_label
_atom_site_type_symbol
_atom_site_fract_x
_atom_site_fract_y
_atom_site_fract_z
Ti1 Ti 0.000 0.000 0.500
Ga1 Ga 0.000 0.000 0.000
Co1 Co 0.500 0.500 0.500
```

Model Q:
Density functional theory data (PBE-GGA) for an optimized crystal structure of Ti3GaCo.

Values from the calculation:
Spin magnetization: 0.00 μB/cell

Cell and atoms, written as CIF:
```
data_Ti3GaCo
_chemical_formula_sum 'Ti12 Ga4 Co4'
_cell_length_a 4.675
_cell_length_b 4.675
_cell_length_c 17.260
_cell_angle_alpha 90.00
_cell_angle_beta 90.00
_cell_angle_gamma 90.00
_space_group_name_H-M_alt 'I -4 m 2'
_space_group_IT_number 119
_space_group_name_Hall 'I -4 -2'
loop_
_atom_site_label
_atom_site_type_symbol
_atom_site_fract_x
_atom_site_fract_y
_atom_site_fract_z
Ti1 Ti 0.000 0.000 0.220
Ti2 Ti 0.000 0.250 0.381
Ga1 Ga 0.000 0.500 0.542
Co1 Co 0.000 0.000 0.500
Co2 Co 0.000 0.500 0.250
```

Model R:
Density functional theory data (PBE-GGA) for an optimized crystal structure of Ti3GaCo.

Values from the calculation:
Spin magnetization: 0.00 μB/cell

Cell and atoms, written as CIF:
```
data_Ti3GaCo
_chemical_formula_sum 'Ti3 Ga1 Co1'
_cell_length_a 4.471
_cell_length_b 4.471
_cell_length_c 4.471
_cell_angle_alpha 90.00
_cell_angle_beta 90.00
_cell_angle_gamma 90.00
_space_group_name_H-M_alt 'P m -3 m'
_space_group_IT_number 221
_space_group_name_Hall '-P 4 2 3'
loop_
_atom_site_label
_atom_site_type_symbol
_atom_site_fract_x
_atom_site_fract_y
_atom_site_fract_z
Ti1 Ti 0.000 0.000 0.500
Ga1 Ga 0.500 0.500 0.500
Co1 Co 0.000 0.000 0.000
```

Which structure loses on stability? model P does.

Model P:
Density functional theory data (PBE-GGA) for an optimized crystal structure of Ti4Ga3Co.

Values from the calculation:
Spin magnetization: 0.00 μB/cell

Cell and atoms, written as CIF:
```
data_Ti4Ga3Co
_chemical_formula_sum 'Ti4 Ga3 Co1'
_cell_length_a 3.068
_cell_length_b 4.046
_cell_length_c 10.008
_cell_angle_alpha 90.00
_cell_angle_beta 90.00
_cell_angle_gamma 90.00
_space_group_name_H-M_alt 'P m m 2'
_space_group_IT_number 25
_space_group_name_Hall 'P 2 -2'
loop_
_atom_site_label
_atom_site_type_symbol
_atom_site_fract_x
_atom_site_fract_y
_atom_site_fract_z
Ti1 Ti 0.000 0.000 0.000
Ti2 Ti 0.000 0.500 0.298
Ti3 Ti 0.500 0.000 0.471
Ti4 Ti 0.500 0.500 0.817
Ga1 Ga 0.000 0.000 0.729
Ga2 Ga 0.000 0.500 0.570
Ga3 Ga 0.500 0.500 0.081
Co1 Co 0.500 0.000 0.242
```

Model Q:
Density functional theory data (PBE-GGA) for an optimized crystal structure of Ti4Ga3Co.

Values from the calculation:
Spin magnetization: 0.33 μB/cell

Cell and atoms, written as CIF:
```
data_Ti4Ga3Co
_chemical_formula_sum 'Ti4 Ga3 Co1'
_cell_length_a 2.813
_cell_length_b 2.813
_cell_length_c 15.230
_cell_angle_alpha 90.00
_cell_angle_beta 90.00
_cell_angle_gamma 90.00
_space_group_name_H-M_alt 'P 4/m m m'
_space_group_IT_number 123
_space_group_name_Hall '-P 4 2'
loop_
_atom_site_label
_atom_site_type_symbol
_atom_site_fract_x
_atom_site_fract_y
_atom_site_fract_z
Ti1 Ti 0.000 0.000 0.108
Ti2 Ti 0.000 0.000 0.370
Ga1 Ga 0.500 0.500 0.240
Ga2 Ga 0.500 0.500 0.500
Co1 Co 0.500 0.500 0.000
```

Which structure loses on stability? model P does.

Model P:
Density functional theory data (PBE-GGA) for an optimized crystal structure of Ti5Ga4Co.

Values from the calculation:
Spin magnetization: 0.25 μB/cell

Cell and atoms, written as CIF:
```
data_Ti5Ga4Co
_chemical_formula_sum 'Ti5 Ga4 Co1'
_cell_length_a 2.806
_cell_length_b 2.806
_cell_length_c 19.292
_cell_angle_alpha 90.00
_cell_angle_beta 90.00
_cell_angle_gamma 90.00
_space_group_name_H-M_alt 'P 4/m m m'
_space_group_IT_number 123
_space_group_name_Hall '-P 4 2'
loop_
_atom_site_label
_atom_site_type_symbol
_atom_site_fract_x
_atom_site_fract_y
_atom_site_fract_z
Ti1 Ti 0.000 0.000 0.000
Ti2 Ti 0.000 0.000 0.206
Ti3 Ti 0.000 0.000 0.415
Ga1 Ga 0.500 0.500 0.103
Ga2 Ga 0.500 0.500 0.310
Co1 Co 0.500 0.500 0.500
```

Model Q:
Density functional theory data (PBE-GGA) for an optimized crystal structure of Ti5Ga4Co.

Values from the calculation:
Spin magnetization: 4.16 μB/cell

Cell and atoms, written as CIF:
```
data_Ti5Ga4Co
_chemical_formula_sum 'Ti10 Ga8 Co2'
_cell_length_a 8.711
_cell_length_b 8.711
_cell_length_c 4.481
_cell_angle_alpha 90.00
_cell_angle_beta 90.00
_cell_angle_gamma 90.00
_space_group_name_H-M_alt 'I 4/m m m'
_space_group_IT_number 139
_space_group_name_Hall '-I 4 2'
loop_
_atom_site_label
_atom_site_type_symbol
_atom_site_fract_x
_atom_site_fract_y
_atom_site_fract_z
Ti1 Ti 0.000 0.000 0.000
Ti2 Ti 0.185 0.185 0.500
Ga1 Ga 0.000 0.320 0.000
Co1 Co 0.000 0.000 0.500
```

Which structure loses on stability? model Q does.

Model P:
Density functional theory data (PBE-GGA) for an optimized crystal structure of TlGa2Co2.

Values from the calculation:
Spin magnetization: 0.00 μB/cell

Cell and atoms, written as CIF:
```
data_TlGa2Co2
_chemical_formula_sum 'Tl2 Ga4 Co4'
_cell_length_a 4.059
_cell_length_b 4.059
_cell_length_c 10.175
_cell_angle_alpha 90.00
_cell_angle_beta 90.00
_cell_angle_gamma 90.00
_space_group_name_H-M_alt 'I 4/m m m'
_space_group_IT_number 139
_space_group_name_Hall '-I 4 2'
loop_
_atom_site_label
_atom_site_type_symbol
_atom_site_fract_x
_atom_site_fract_y
_atom_site_fract_z
Tl1 Tl 0.000 0.000 0.000
Ga1 Ga 0.000 0.000 0.371
Co1 Co 0.000 0.500 0.250
```

Model Q:
Density functional theory data (PBE-GGA) for an optimized crystal structure of TlGa2Co2.

Values from the calculation:
Spin magnetization: 0.00 μB/cell

Cell and atoms, written as CIF:
```
data_TlGa2Co2
_chemical_formula_sum 'Tl2 Ga4 Co4'
_cell_length_a 3.658
_cell_length_b 3.658
_cell_length_c 11.571
_cell_angle_alpha 90.00
_cell_angle_beta 90.00
_cell_angle_gamma 90.00
_space_group_name_H-M_alt 'I 4/m m m'
_space_group_IT_number 139
_space_group_name_Hall '-I 4 2'
loop_
_atom_site_label
_atom_site_type_symbol
_atom_site_fract_x
_atom_site_fract_y
_atom_site_fract_z
Tl1 Tl 0.000 0.000 0.000
Ga1 Ga 0.000 0.500 0.250
Co1 Co 0.000 0.000 0.395
```

Model R:
Density functional theory data (PBE-GGA) for an optimized crystal structure of TlGa2Co2.

Values from the calculation:
Spin magnetization: 0.00 μB/cell

Cell and atoms, written as CIF:
```
data_TlGa2Co2
_chemical_formula_sum 'Tl2 Ga4 Co4'
_cell_length_a 7.296
_cell_length_b 7.296
_cell_length_c 2.797
_cell_angle_alpha 90.00
_cell_angle_beta 90.00
_cell_angle_gamma 90.00
_space_group_name_H-M_alt 'P 4/m b m'
_space_group_IT_number 127
_space_group_name_Hall '-P 4 2ab'
loop_
_atom_site_label
_atom_site_type_symbol
_atom_site_fract_x
_atom_site_fract_y
_atom_site_fract_z
Tl1 Tl 0.000 0.000 0.000
Ga1 Ga 0.133 0.367 0.000
Co1 Co 0.157 0.657 0.500
```

Model S:
Density functional theory data (PBE-GGA) for an optimized crystal structure of TlGa2Co2.

Values from the calculation:
Spin magnetization: 0.00 μB/cell

Cell and atoms, written as CIF:
```
data_TlGa2Co2
_chemical_formula_sum 'Tl2 Ga4 Co4'
_cell_length_a 7.089
_cell_length_b 7.089
_cell_length_c 2.959
_cell_angle_alpha 90.00
_cell_angle_beta 90.00
_cell_angle_gamma 90.00
_space_group_name_H-M_alt 'P 4/m b m'
_space_group_IT_number 127
_space_group_name_Hall '-P 4 2ab'
loop_
_atom_site_label
_atom_site_type_symbol
_atom_site_fract_x
_atom_site_fract_y
_atom_site_fract_z
Tl1 Tl 0.000 0.000 0.000
Ga1 Ga 0.141 0.359 0.500
Co1 Co 0.151 0.651 0.000
```

Which structure loses on stability? model P does.

Model P:
Density functional theory data (PBE-GGA) for an optimized crystal structure of TlGaCo3.

Values from the calculation:
Spin magnetization: 5.27 μB/cell

Cell and atoms, written as CIF:
```
data_TlGaCo3
_chemical_formula_sum 'Tl1 Ga1 Co3'
_cell_length_a 4.830
_cell_length_b 4.830
_cell_length_c 4.830
_cell_angle_alpha 90.00
_cell_angle_beta 90.00
_cell_angle_gamma 90.00
_space_group_name_H-M_alt 'P m -3 m'
_space_group_IT_number 221
_space_group_name_Hall '-P 4 2 3'
loop_
_atom_site_label
_atom_site_type_symbol
_atom_site_fract_x
_atom_site_fract_y
_atom_site_fract_z
Tl1 Tl 0.000 0.000 0.000
Ga1 Ga 0.500 0.500 0.500
Co1 Co 0.000 0.000 0.500
```

Model Q:
Density functional theory data (PBE-GGA) for an optimized crystal structure of TlGaCo3.

Values from the calculation:
Spin magnetization: 3.56 μB/cell

Cell and atoms, written as CIF:
```
data_TlGaCo3
_chemical_formula_sum 'Tl1 Ga1 Co3'
_cell_length_a 4.389
_cell_length_b 4.389
_cell_length_c 4.389
_cell_angle_alpha 90.00
_cell_angle_beta 90.00
_cell_angle_gamma 90.00
_space_group_name_H-M_alt 'P m -3 m'
_space_group_IT_number 221
_space_group_name_Hall '-P 4 2 3'
loop_
_atom_site_label
_atom_site_type_symbol
_atom_site_fract_x
_atom_site_fract_y
_atom_site_fract_z
Tl1 Tl 0.000 0.000 0.000
Ga1 Ga 0.500 0.500 0.500
Co1 Co 0.000 0.500 0.500
```

Which structure loses on stability? model P does.

Model P:
Density functional theory data (PBE-GGA) for an optimized crystal structure of TmGa3Co.

Values from the calculation:
Spin magnetization: 0.00 μB/cell

Cell and atoms, written as CIF:
```
data_TmGa3Co
_chemical_formula_sum 'Tm4 Ga12 Co4'
_cell_length_a 8.144
_cell_length_b 4.044
_cell_length_c 10.388
_cell_angle_alpha 90.00
_cell_angle_beta 90.00
_cell_angle_gamma 90.00
_space_group_name_H-M_alt 'P n m a'
_space_group_IT_number 62
_space_group_name_Hall '-P 2ac 2n'
loop_
_atom_site_label
_atom_site_type_symbol
_atom_site_fract_x
_atom_site_fract_y
_atom_site_fract_z
Tm1 Tm 0.200 0.250 0.015
Ga1 Ga 0.054 0.250 0.585
Ga2 Ga 0.109 0.750 0.795
Ga3 Ga 0.147 0.750 0.218
Co1 Co 0.111 0.250 0.353
```

Model Q:
Density functional theory data (PBE-GGA) for an optimized crystal structure of TmGa3Co.

Values from the calculation:
Spin magnetization: 0.00 μB/cell

Cell and atoms, written as CIF:
```
data_TmGa3Co
_chemical_formula_sum 'Tm1 Ga3 Co1'
_cell_length_a 4.518
_cell_length_b 4.518
_cell_length_c 4.518
_cell_angle_alpha 90.00
_cell_angle_beta 90.00
_cell_angle_gamma 90.00
_space_group_name_H-M_alt 'P m -3 m'
_space_group_IT_number 221
_space_group_name_Hall '-P 4 2 3'
loop_
_atom_site_label
_atom_site_type_symbol
_atom_site_fract_x
_atom_site_fract_y
_atom_site_fract_z
Tm1 Tm 0.000 0.000 0.000
Ga1 Ga 0.000 0.500 0.500
Co1 Co 0.500 0.500 0.500
```

Which structure loses on stability? model Q does.

Model P:
Density functional theory data (PBE-GGA) for an optimized crystal structure of Tm3Ga7Co2.

Values from the calculation:
Spin magnetization: 0.00 μB/cell

Cell and atoms, written as CIF:
```
data_Tm3Ga7Co2
_chemical_formula_sum 'Tm6 Ga14 Co4'
_cell_length_a 3.901
_cell_length_b 3.901
_cell_length_c 28.609
_cell_angle_alpha 90.00
_cell_angle_beta 90.00
_cell_angle_gamma 90.00
_space_group_name_H-M_alt 'I 4/m m m'
_space_group_IT_number 139
_space_group_name_Hall '-I 4 2'
loop_
_atom_site_label
_atom_site_type_symbol
_atom_site_fract_x
_atom_site_fract_y
_atom_site_fract_z
Tm1 Tm 0.000 0.000 0.000
Tm2 Tm 0.000 0.000 0.167
Ga1 Ga 0.000 0.000 0.274
Ga2 Ga 0.000 0.000 0.500
Ga3 Ga 0.000 0.500 0.083
Co1 Co 0.000 0.000 0.358
```

Model Q:
Density functional theory data (PBE-GGA) for an optimized crystal structure of Tm3Ga7Co2.

Values from the calculation:
Spin magnetization: 0.00 μB/cell

Cell and atoms, written as CIF:
```
data_Tm3Ga7Co2
_chemical_formula_sum 'Tm3 Ga7 Co2'
_cell_length_a 4.094
_cell_length_b 3.824
_cell_length_c 14.079
_cell_angle_alpha 90.00
_cell_angle_beta 98.34
_cell_angle_gamma 90.00
_space_group_name_H-M_alt 'P 1 2/m 1'
_space_group_IT_number 10
_space_group_name_Hall '-P 2y'
loop_
_atom_site_label
_atom_site_type_symbol
_atom_site_fract_x
_atom_site_fract_y
_atom_site_fract_z
Tm1 Tm 0.000 0.000 0.000
Tm2 Tm 0.175 0.000 0.347
Ga1 Ga 0.088 0.500 0.172
Ga2 Ga 0.276 0.500 0.552
Ga3 Ga 0.415 0.000 0.831
Ga4 Ga 0.500 0.500 0.000
Co1 Co 0.360 0.500 0.720
```

Which structure loses on stability? model P does.

Model P:
Density functional theory data (PBE-GGA) for an optimized crystal structure of Tm3Ga3Co2.

Values from the calculation:
Spin magnetization: 0.00 μB/cell

Cell and atoms, written as CIF:
```
data_Tm3Ga3Co2
_chemical_formula_sum 'Tm12 Ga12 Co8'
_cell_length_a 4.161
_cell_length_b 10.373
_cell_length_c 13.960
_cell_angle_alpha 90.00
_cell_angle_beta 90.00
_cell_angle_gamma 90.00
_space_group_name_H-M_alt 'C m c m'
_space_group_IT_number 63
_space_group_name_Hall '-C 2c 2'
loop_
_atom_site_label
_atom_site_type_symbol
_atom_site_fract_x
_atom_site_fract_y
_atom_site_fract_z
Tm1 Tm 0.000 0.085 0.108
Tm2 Tm 0.000 0.365 0.250
Ga1 Ga 0.000 0.333 0.750
Ga2 Ga 0.000 0.378 0.041
Co1 Co 0.000 0.214 0.590
```

Model Q:
Density functional theory data (PBE-GGA) for an optimized crystal structure of Tm3Ga3Co2.

Values from the calculation:
Spin magnetization: 0.00 μB/cell

Cell and atoms, written as CIF:
```
data_Tm3Ga3Co2
_chemical_formula_sum 'Tm12 Ga12 Co8'
_cell_length_a 7.326
_cell_length_b 14.669
_cell_length_c 5.616
_cell_angle_alpha 90.00
_cell_angle_beta 90.00
_cell_angle_gamma 90.00
_space_group_name_H-M_alt 'P n m a'
_space_group_IT_number 62
_space_group_name_Hall '-P 2ac 2n'
loop_
_atom_site_label
_atom_site_type_symbol
_atom_site_fract_x
_atom_site_fract_y
_atom_site_fract_z
Tm1 Tm 0.035 0.108 0.118
Tm2 Tm 0.166 0.250 0.638
Ga1 Ga 0.170 0.038 0.603
Ga2 Ga 0.176 0.750 0.624
Co1 Co 0.127 0.608 0.381
```

Which structure loses on stability? model Q does.